A plane-wave DFT calculation with PBE-GGA was carried out for SmBeFe2Si2 after structural relaxation.

Calculated values
Raw formation energy, eV per atom: -0.42
Final energy, eV for the cell shown: -38.7
DOS at the Fermi energy, states/eV per atom: 0.510
Calculated volume, Å³ per atom: 14.0

Cell: 3.998 3.998 5.259 Å, 90.00 90.00 90.00°
Atoms (fractional coordinates):
Sm1 0.000 0.000 0.000
Be1 0.000 0.000 0.500
Fe1 0.000 0.500 0.500
Fe2 0.500 0.000 0.500
Si1 0.500 0.500 0.249
Si2 0.500 0.500 0.751